Compound: VC2O
Source: Alexandria
Functional: PBE with a Hubbard U
Structure: optimized geometry

Lattice parameters (Å, degrees): 4.734 4.734 4.734 119.98 119.98 90.03
Sites, in units of the cell vectors:
V: 0.000 0.000 0.000
V: 0.750 0.250 0.500
C: 0.178 0.625 0.053
C: 0.375 0.428 0.553
C: 0.572 0.125 0.947
C: 0.875 0.822 0.447
O: 0.250 0.750 0.500
O: 0.500 0.500 0.000

## Properties
**Magnetic moment**: 0.2524 μB/atom
**Raw total energy**: -6.0044 eV per atom